Entry 1:
Density functional theory data (PBE) for a geometry-optimized Cd3GaAg4 structure.

As for the relative energy among the computed polymorphs: 0 meV per atom. The electronic total energy comes out at -17.38 eV/f.u. Its calculated formation energy is -0.025 eV/atom. For the volume, the calculation gives 151 Å³ per cell.

The structure belongs to space group P4/mmm (No. 123); the cell edges are 3.196, 3.196 and 14.809 Å and the angles 90.00°, 90.00° and 90.00°. The distinct sites, in fractional coordinates, are Cd at (0.000, 0.000, 0.000), Cd at (0.000, 0.000, 0.255), Ga at (0.000, 0.000, 0.500), Ag at (0.500, 0.500, 0.128) and Ag at (0.500, 0.500, 0.385).



Entry 2:
Density functional theory data (PBE) for a geometry-optimized CdGa2Ag7 structure.

As for the relative energy among the computed polymorphs: 144 meV per atom. The electronic total energy comes out at -25.02 eV/f.u. Its calculated formation energy is 0.191 eV/atom. For the volume, the calculation gives 454 Å³ per cell.

The structure belongs to space group Cmmm (No. 65); the cell edges are 7.594, 12.938 and 4.623 Å and the angles 90.00°, 90.00° and 90.00°. The distinct sites, in fractional coordinates, are Cd at (0.000, 0.000, 0.000), Ga at (0.000, 0.302, 0.500), Ag at (0.000, 0.215, 0.000), Ag at (0.000, 0.500, 0.500) and Ag at (0.184, 0.115, 0.500).



Entry 3:
Density functional theory data (PBE) for a geometry-optimized CdGa8Ag5 structure.

The electronic total energy comes out at -38.51 eV/f.u. Its calculated formation energy is 0.063 eV/atom. For the volume, the calculation gives 549 Å³ per cell.

The structure belongs to space group I-4 (No. 82); the cell edges are 8.943, 8.943 and 6.864 Å and the angles 90.00°, 90.00° and 90.00°. The distinct sites, in fractional coordinates, are Cd at (0.000, 0.000, 0.000), Ga at (0.061, 0.833, 0.330), Ga at (0.167, 0.324, 0.492), Ag at (0.000, 0.500, 0.250) and Ag at (0.106, 0.351, 0.884).